No. 1
DFT (PBE) results for a relaxed Th2SiHg crystal.

For the relative energy among the computed polymorphs, the calculation gives 0 meV/atom.

The structure belongs to space group R-3m (No. 166, hexagonal axes); the cell edges are 4.1345, 4.1345 and 23.7450 Å and the angles 90.00°, 90.00° and 120.00°. The asymmetric unit holds Th at (0.0000, 0.0000, 0.2385), Si at (0.0000, 0.0000, 0.5000) and Hg at (0.0000, 0.0000, 0.0000).

---

No. 2
DFT (PBE) results for a relaxed NaNdIrO4 crystal.

The structure belongs to space group Imma (No. 74); the cell edges are 6.554, 7.250 and 9.033 Å and the angles 90.00°, 90.00° and 90.00°. The asymmetric unit holds Na at (0.000, 0.250, 0.113), Nd at (0.000, 0.000, 0.500), Ir at (0.250, 0.250, 0.750), O at (0.000, 0.074, 0.759) and O at (0.225, 0.250, 0.523).

---

It is found that the total moment values, taken in the order of the records, are 0.0, 0.6 μB/f.u..
It is found that the E_form (uncorrected) values, taken in the order of the records, are -0.39, -1.78 eV/atom.